[1]
A plane-wave DFT calculation with PBEsol was carried out for AlOs3Au after structural relaxation.

Unit cell a=4.7619 b=4.7619 c=4.7619 alpha=90.00 beta=90.00 gamma=90.00
Space group Pm-3m (No. 221)
Symmetry-distinct sites (fractional):
Al1 0.0000 0.0000 0.0000 x1
Os1 0.0000 0.5000 0.5000 x3
Au1 0.5000 0.5000 0.5000 x1

Results
Its total energy is -5.966 eV per atom. The value obtained for the total magnetization is 4.57 Bohr magnetons per cell.

***

[2]
A plane-wave DFT calculation with PBEsol was carried out for GdB6 after structural relaxation.

Unit cell a=4.0878 b=4.0878 c=4.0878 alpha=90.00 beta=90.00 gamma=90.00
Space group Pm-3m (No. 221)
Symmetry-distinct sites (fractional):
Gd1 0.0000 0.0000 0.0000 x1
B1 0.1989 0.5000 0.5000 x6

Results
Its total energy is -8.549 eV per atom. The value obtained for the total magnetization is 6.79 Bohr magnetons per cell.

***

[3]
A plane-wave DFT calculation with PBEsol was carried out for K2PtW after structural relaxation.

Unit cell a=4.1695 b=5.8282 c=9.6697 alpha=90.00 beta=90.00 gamma=90.00
Space group Imm2 (No. 44)
Symmetry-distinct sites (fractional):
K1 0.0000 0.0000 0.0000 x2
K2 0.0000 0.5000 0.1998 x2
Pt1 0.0000 0.5000 0.7777 x2
W1 0.0000 0.0000 0.3979 x2

Results
Its total energy is -4.671 eV per atom. The value obtained for the total magnetization is 2.68 Bohr magnetons per cell.

***

| no. | calculated formation energy (kcal/mol of atoms) |
| --- | --- |
| 1 | 68.4 |
| 2 | -10.9 |
| 3 | 25.1 |